Record 1
The following is a DFT calculation (PBE-GGA) of a relaxed structure of Li3BeH4.

- calculated volume (A^3/atom) = 8.56
- total energy (eV per atom) = -3.05
- DOS at the Fermi energy (states/eV/cell) = 1.520

POSCAR file:
```
Li3BeH4
1.0
4.066 0.000 0.000
0.000 5.466 0.000
0.000 0.000 6.164
Li H Be
6 8 2
Direct
0.542 0.874 0.000
0.539 0.352 0.250
0.039 0.648 0.750
0.539 0.352 0.750
0.039 0.648 0.250
0.042 0.126 0.500
0.571 0.695 0.271
0.571 0.695 0.729
0.071 0.305 0.771
0.071 0.305 0.229
0.155 0.804 0.500
0.592 0.053 0.500
0.092 0.947 0.000
0.655 0.196 0.000
0.006 0.211 0.000
0.506 0.789 0.500
```

=====

Record 2
The following is a DFT calculation (PBE-GGA) of a relaxed structure of SiTe2ICl.

- calculated volume (A^3/atom) = 30.66
- E above lowest polymorph (eV per atom) = 0.000
- total energy (eV per atom) = -2.63
- DOS at the Fermi energy (states/eV/cell) = 5.105
- ΔE_f (raw) (kJ/mol of atoms) = 37.4

POSCAR file:
```
SiTe2ICl
1.0
5.323 0.000 0.000
0.000 5.323 0.000
0.000 0.000 5.411
Te I Si Cl
2 1 1 1
Direct
0.000 0.500 0.000
0.500 0.000 0.000
0.000 0.000 0.500
0.000 0.000 0.000
0.500 0.500 0.500
```

=====

Record 3
The following is a DFT calculation (PBE-GGA) of a relaxed structure of AcEr2Tm6.

- calculated volume (A^3/atom) = 32.24
- formation energy (eV per formula unit) = 0.8
- total energy (eV per atom) = -4.37
- DOS at the Fermi energy (states/eV/cell) = 15.466

POSCAR file:
```
AcEr2Tm6
1.0
1.796 -3.111 0.000
1.796 3.111 0.000
0.000 0.000 25.961
Er Tm Ac
2 6 1
Direct
0.333 0.667 0.669
0.333 0.667 0.331
0.000 0.000 0.564
0.000 0.000 0.436
0.000 0.000 0.776
0.333 0.667 0.119
0.333 0.667 0.881
0.000 0.000 0.224
0.000 0.000 0.000
```

=====

Record 4
The following is a DFT calculation (PBE-GGA) of a relaxed structure of PrNd3Tm4.

- calculated volume (A^3/atom) = 32.47
- formation energy (eV per formula unit) = 0.2
- E above lowest polymorph (eV per atom) = 0.000
- total energy (eV per atom) = -4.60
- DOS at the Fermi energy (states/eV/cell) = 9.582

POSCAR file:
```
PrNd3Tm4
1.0
3.602 0.000 0.000
0.000 5.760 -2.364
0.001 2.463 11.511
Nd Tm Pr
3 4 1
Direct
0.000 0.500 0.000
0.000 0.000 0.500
0.500 0.500 0.500
0.500 0.250 0.750
0.000 0.750 0.750
0.500 0.750 0.250
0.000 0.250 0.250
0.500 0.000 0.000
```

=====

Record 5
The following is a DFT calculation (PBE-GGA) of a relaxed structure of MnZnBr2.

- calculated volume (A^3/atom) = 18.33
- E above lowest polymorph (eV per atom) = 1.087
- total energy (eV per atom) = -2.71
- DOS at the Fermi energy (states/eV/cell) = 9.840
- ΔE_f (raw) (kJ/mol of atoms) = 71.2

POSCAR file:
```
MnZnBr2
1.0
0.511 -4.669 -0.101
-3.078 -2.749 2.245
-3.015 -2.640 -2.451
Br Zn Mn
2 1 1
Direct
0.250 0.250 0.250
0.750 0.750 0.750
0.500 0.500 0.500
0.000 0.000 0.000
```

=====

Record 6
The following is a DFT calculation (PBE-GGA) of a relaxed structure of CaTl2Pt.

- calculated volume (A^3/atom) = 27.63
- formation energy (eV per formula unit) = -1.2
- total energy (eV per atom) = -3.48
- DOS at the Fermi energy (states/eV/cell) = 4.382

POSCAR file:
```
CaTl2Pt
1.0
-8.016 3.415 -0.378
-0.181 -1.378 -8.610
-5.242 -1.616 -4.049
Pt Ca Tl
2 2 4
Direct
0.000 0.000 0.000
0.750 0.250 0.500
0.500 0.500 0.000
0.250 0.750 0.500
0.375 0.306 0.750
0.056 0.625 0.250
0.875 0.944 0.750
0.694 0.125 0.250
```

=====

Record 7
The following is a DFT calculation (PBE-GGA) of a relaxed structure of NaRe2Cl.

- calculated volume (A^3/atom) = 21.85
- E above lowest polymorph (eV per atom) = 0.000
- total energy (eV per atom) = -6.37
- DOS at the Fermi energy (states/eV/cell) = 7.728
- ΔE_f (raw) (kJ/mol of atoms) = 62.4

POSCAR file:
```
NaRe2Cl
1.0
3.550 0.000 0.000
0.000 3.550 0.000
1.775 1.775 13.873
Re Cl Na
4 2 2
Direct
0.609 0.625 0.250
0.141 0.125 0.250
0.375 0.859 0.750
0.875 0.391 0.750
0.000 0.000 0.000
0.750 0.250 0.500
0.500 0.500 0.000
0.250 0.750 0.500
```

=====

Record 8
The following is a DFT calculation (PBE-GGA) of a relaxed structure of Ac2PrN.

- calculated volume (A^3/atom) = 32.28
- total energy (eV per atom) = -5.71
- DOS at the Fermi energy (states/eV/cell) = 3.849
- ΔE_f (raw) (kJ/mol of atoms) = -36.2

POSCAR file:
```
Ac2PrN
1.0
3.779 0.000 0.000
1.889 3.272 0.000
1.889 1.091 10.442
Ac Pr N
2 1 1
Direct
0.119 0.119 0.644
0.881 0.881 0.356
0.000 0.000 0.000
0.500 0.500 0.500
```